No. 1
Density functional theory data (PBE) for a relaxed Nb3IrS6 crystal.

The structure in POSCAR format:
```
Nb3IrS6
1.0
5.793 0.000 0.000
-2.896 5.017 0.000
0.000 0.000 11.984
Nb Ir S
6 2 12
Direct
0.000 0.000 0.000
0.000 0.000 0.500
0.333 0.667 0.002
0.333 0.667 0.498
0.667 0.333 0.502
0.667 0.333 0.998
0.333 0.667 0.750
0.667 0.333 0.250
0.003 0.332 0.368
0.003 0.671 0.132
0.329 0.332 0.132
0.329 0.997 0.368
0.332 0.003 0.632
0.332 0.329 0.868
0.668 0.671 0.368
0.668 0.997 0.132
0.671 0.003 0.868
0.671 0.668 0.632
0.997 0.329 0.632
0.997 0.668 0.868
```

Values from the calculation:
Size of the total moment, μB per atom: 0.00
E_tot, eV per cell: -146.7

=====

No. 2
Density functional theory data (PBE) for a relaxed TaB2Os2 crystal.

The structure in POSCAR format:
```
TaB2Os2
1.0
-1.891 1.891 4.240
1.891 -1.891 4.240
1.891 1.891 -4.240
Ta B Os
1 2 2
Direct
0.000 0.000 0.000
0.391 0.391 0.000
0.609 0.609 0.000
0.250 0.750 0.500
0.750 0.250 0.500
```

Values from the calculation:
Size of the total moment, μB per atom: 0.00
E_tot, eV per cell: -48.4

=====

No. 3
Density functional theory data (PBE) for a relaxed GdHoAg2 crystal.

The structure in POSCAR format:
```
GdHoAg2
1.0
4.770 0.000 0.000
0.000 1.856 5.509
0.000 -1.856 5.509
Gd Ho Ag
1 1 2
Direct
0.000 0.000 0.000
0.500 0.287 0.287
0.000 0.724 0.724
0.500 0.565 0.565
```

Values from the calculation:
Size of the total moment, μB per atom: 0.00
E_tot, eV per cell: -16.1

=====

No. 4
Density functional theory data (PBE) for a relaxed Ni9Sn crystal.

The structure in POSCAR format:
```
Ni9Sn
1.0
2.574 0.000 0.000
0.000 3.373 0.000
0.000 0.000 37.628
Ni Sn
18 2
Direct
0.250 0.250 0.016
0.250 0.250 0.082
0.250 0.250 0.147
0.250 0.250 0.213
0.250 0.250 0.280
0.250 0.250 0.753
0.250 0.250 0.819
0.250 0.250 0.886
0.250 0.250 0.951
0.750 0.750 0.049
0.750 0.750 0.114
0.750 0.750 0.181
0.750 0.750 0.247
0.750 0.750 0.720
0.750 0.750 0.787
0.750 0.750 0.853
0.750 0.750 0.918
0.750 0.750 0.984
0.250 0.250 0.675
0.750 0.750 0.325
```

Values from the calculation:
Size of the total moment, μB per atom: 0.30
Energy above the most stable polymorph in this dataset, meV per atom: 0

=====

No. 5
Density functional theory data (PBE) for a relaxed CsTh3F13 crystal.

The structure in POSCAR format:
```
CsTh3F13
1.0
8.046 0.000 0.000
0.000 7.468 0.000
0.000 0.000 8.499
Cs Th F
2 6 26
Direct
0.000 0.106 0.000
0.000 0.894 0.500
0.247 0.395 0.629
0.247 0.605 0.129
0.500 0.111 0.288
0.500 0.889 0.788
0.753 0.395 0.629
0.753 0.605 0.129
0.000 0.229 0.661
0.000 0.437 0.152
0.000 0.563 0.652
0.000 0.771 0.161
0.192 0.452 0.892
0.192 0.548 0.392
0.241 0.180 0.429
0.241 0.820 0.929
0.300 0.109 0.746
0.300 0.891 0.246
0.328 0.308 0.151
0.328 0.692 0.651
0.500 0.036 0.023
0.500 0.365 0.470
0.500 0.393 0.761
0.500 0.607 0.261
0.500 0.635 0.970
0.500 0.964 0.523
0.672 0.308 0.151
0.672 0.692 0.651
0.700 0.109 0.746
0.700 0.891 0.246
0.759 0.180 0.429
0.759 0.820 0.929
0.808 0.452 0.892
0.808 0.548 0.392
```

Values from the calculation:
Size of the total moment, μB per atom: 0.00
E_tot, eV per cell: -231.0

=====

No. 6
Density functional theory data (PBE) for a relaxed La5Al3Ni2 crystal.

The structure in POSCAR format:
```
La5Al3Ni2
1.0
7.120 -3.441 0.000
7.120 3.441 0.000
0.000 0.000 10.444
La Al Ni
10 6 4
Direct
0.025 0.539 0.250
0.110 0.890 0.750
0.375 0.375 0.000
0.375 0.375 0.500
0.461 0.975 0.250
0.539 0.025 0.750
0.625 0.625 0.000
0.625 0.625 0.500
0.890 0.110 0.250
0.975 0.461 0.750
0.147 0.147 0.000
0.147 0.147 0.500
0.381 0.619 0.250
0.619 0.381 0.750
0.853 0.853 0.000
0.853 0.853 0.500
0.171 0.829 0.061
0.171 0.829 0.439
0.829 0.171 0.561
0.829 0.171 0.939
```

Values from the calculation:
Size of the total moment, μB per atom: 0.00
E_tot, eV per cell: -102.2

=====

No. 7
Density functional theory data (PBE) for a relaxed ScBeInPt crystal.

The structure in POSCAR format:
```
ScBeInPt
1.0
0.000 3.224 3.224
3.224 0.000 3.224
3.224 3.224 0.000
Sc Be In Pt
1 1 1 1
Direct
0.000 0.000 0.000
0.250 0.250 0.250
0.500 0.500 0.500
0.750 0.750 0.750
```

Values from the calculation:
Size of the total moment, μB per atom: 0.00
Energy above the most stable polymorph in this dataset, meV per atom: 0

=====

No. 8
Density functional theory data (PBE) for a relaxed DyEr3Sc2Bi2Os crystal.

The structure in POSCAR format:
```
DyEr3Sc2Bi2Os
1.0
4.206 0.000 0.000
0.000 6.974 4.026
0.000 -6.974 4.026
Dy Er Sc Bi Os
1 3 2 2 1
Direct
0.000 0.000 0.000
0.500 0.154 0.767
0.500 0.390 0.390
0.500 0.767 0.154
0.000 0.542 0.769
0.000 0.769 0.542
0.000 0.104 0.442
0.000 0.442 0.104
0.500 0.757 0.757
```

Values from the calculation:
Size of the total moment, μB per atom: 0.00
E_tot, eV per cell: -55.4

=====

No. 9
Density functional theory data (PBE) for a relaxed GaNiIrPd crystal.

The structure in POSCAR format:
```
GaNiIrPd
1.0
0.000 3.046 3.046
3.046 0.000 3.046
3.046 3.046 0.000
Ga Ni Ir Pd
1 1 1 1
Direct
0.000 0.000 0.000
0.250 0.250 0.250
0.500 0.500 0.500
0.750 0.750 0.750
```

Values from the calculation:
Size of the total moment, μB per atom: 0.00
E_tot, eV per cell: -22.8

=====

No. 10
Density functional theory data (PBE) for a relaxed Li2CuH6Os crystal.

The structure in POSCAR format:
```
Li2CuH6Os
1.0
0.000 3.377 3.377
3.377 0.000 3.377
3.377 3.377 0.000
Li Cu H Os
2 1 6 1
Direct
0.250 0.250 0.250
0.750 0.750 0.750
0.000 0.000 0.000
0.248 0.248 0.752
0.248 0.752 0.248
0.248 0.752 0.752
0.752 0.248 0.248
0.752 0.248 0.752
0.752 0.752 0.248
0.500 0.500 0.500
```

Values from the calculation:
Size of the total moment, μB per atom: 0.02
E_tot, eV per cell: -39.4

=====

No. 11
Density functional theory data (PBE) for a relaxed Gd3Tl2Sn5 crystal.

The structure in POSCAR format:
```
Gd3Tl2Sn5
1.0
2.310 -12.530 0.000
2.310 12.530 0.000
0.000 0.000 4.608
Gd Tl Sn
3 2 5
Direct
0.000 0.000 0.000
0.188 0.812 0.000
0.812 0.188 0.000
0.402 0.598 0.000
0.598 0.402 0.000
0.096 0.904 0.500
0.292 0.708 0.500
0.500 0.500 0.500
0.708 0.292 0.500
0.904 0.096 0.500
```

Values from the calculation:
Size of the total moment, μB per atom: 0.00
Energy above the most stable polymorph in this dataset, meV per atom: 4

=====

No. 12
Density functional theory data (PBE) for a relaxed K3SmP2O8 crystal.

The structure in POSCAR format:
```
K3SmP2O8
1.0
7.365 0.000 0.000
0.000 5.605 0.000
-0.139 0.000 9.452
K Sm P O
6 2 4 16
Direct
0.009 0.250 0.190
0.133 0.750 0.406
0.299 0.250 0.918
0.701 0.750 0.082
0.867 0.250 0.594
0.991 0.750 0.810
0.492 0.750 0.707
0.508 0.250 0.293
0.266 0.750 0.087
0.304 0.250 0.574
0.696 0.750 0.426
0.734 0.250 0.913
0.059 0.750 0.101
0.215 0.250 0.423
0.245 0.024 0.656
0.245 0.476 0.656
0.323 0.750 0.929
0.347 0.525 0.161
0.347 0.975 0.161
0.488 0.750 0.447
0.512 0.250 0.553
0.653 0.025 0.839
0.653 0.475 0.839
0.677 0.250 0.071
0.755 0.524 0.344
0.755 0.976 0.344
0.785 0.750 0.577
0.941 0.250 0.899
```

Values from the calculation:
Size of the total moment, μB per atom: 0.00
E_tot, eV per cell: -189.0